A geometry-optimized PmCr4Ga3O12 structure, computed with PBE with a Hubbard U.

Cell: 6.4923 6.4923 6.4923 Å, 109.47 109.47 109.47°
Last column: nearest neighbours and their distance in Å.
Fractional coordinates of all 20 atoms:
Pm  0.0000  0.0000  0.0000  12 O 2.66
Cr  0.0000  0.0000  0.5000  6 O 2.01
Cr  0.0000  0.5000  0.0000  6 O 2.01
Cr  0.5000  0.0000  0.0000  6 O 2.01
Cr  0.5000  0.5000  0.5000  6 O 2.01
Ga  0.0000  0.5000  0.5000  4 O 1.94
Ga  0.5000  0.0000  0.5000  4 O 1.94
Ga  0.5000  0.5000  0.0000  4 O 1.94
O  0.1349  0.8261  0.3088  1 Ga 1.94, 2 Cr 2.01
O  0.1739  0.3088  0.4827  1 Ga 1.94, 2 Cr 2.01
O  0.1739  0.6912  0.8651  1 Ga 1.94, 2 Cr 2.01
O  0.3088  0.1349  0.8261  1 Ga 1.94, 2 Cr 2.01
O  0.3088  0.4827  0.1739  1 Ga 1.94, 2 Cr 2.01
O  0.4827  0.1739  0.3088  1 Ga 1.94, 2 Cr 2.01
O  0.5173  0.8261  0.6912  1 Ga 1.94, 2 Cr 2.01
O  0.6912  0.5173  0.8261  1 Ga 1.94, 2 Cr 2.01
O  0.6912  0.8651  0.1739  1 Ga 1.94, 2 Cr 2.01
O  0.8261  0.3088  0.1349  1 Ga 1.94, 2 Cr 2.01
O  0.8261  0.6912  0.5173  1 Ga 1.94, 2 Cr 2.01
O  0.8651  0.1739  0.6912  1 Ga 1.94, 2 Cr 2.01

The space-group type is Im-3 (204). The volume is 211 Å³ per cell. The total energy comes out at -7.19 eV/atom.